A geometry-optimized Sr2Si5Pd3 structure, computed with GGA-PBE.

Output
- space group = Ibam (72)
- electronic total energy (eV/atom) = -5.25

Cell: 8.4613 8.4613 8.4613 Å, 105.92 88.51 138.75°
Closest atoms and distances in Å follow each position.
Element x y z (fractional)
Pd 0.2500 0.2500 0.0000  6 Si 2.52-2.76
Pd 0.7500 0.7500 0.0000  6 Si 2.52-2.76
Pd 0.8642 0.3891 0.2533  5 Si 2.49-2.51
Pd 0.3642 0.1109 0.4752  5 Si 2.49-2.51
Pd 0.6358 0.8891 0.5248  5 Si 2.49-2.51
Pd 0.1358 0.6109 0.7467  5 Si 2.49-2.51
Si 0.8845 0.1444 0.0289  2 Si 2.50, 3 Pd 2.51-2.52
Si 0.4780 0.2500 0.2280  3 Pd 2.50-2.76, 2 Si 2.50
Si 0.9780 0.7500 0.2280  3 Pd 2.50-2.76, 2 Si 2.50
Si 0.6155 0.6444 0.2599  2 Si 2.50, 3 Pd 2.51-2.52
Si 0.7500 0.2500 0.5000  4 Pd 2.49
Si 0.2500 0.7500 0.5000  4 Pd 2.49
Si 0.3845 0.3556 0.7401  2 Si 2.50, 3 Pd 2.51-2.52
Si 0.0220 0.2500 0.7720  3 Pd 2.50-2.76, 2 Si 2.50
Si 0.5220 0.7500 0.7720  3 Pd 2.50-2.76, 2 Si 2.50
Si 0.1155 0.8556 0.9711  2 Si 2.50, 3 Pd 2.51-2.52
Sr 0.3718 0.7633 0.1351  10 Si 3.19-3.33, 7 Pd 3.25-3.54
Sr 0.1282 0.2633 0.3915  10 Si 3.19-3.33, 7 Pd 3.25-3.54
Sr 0.8718 0.7367 0.6085  10 Si 3.19-3.33, 7 Pd 3.25-3.54
Sr 0.6282 0.2367 0.8649  10 Si 3.19-3.33, 7 Pd 3.25-3.54